<i>
Ac4NiAu PBE relaxed; size of the total moment = 0.00 μB/atom; DOS(E_F) = 12.48 states/eV/cell
1.0
-2.273 6.389 0.330
-2.270 -1.181 7.230
8.559 -1.497 2.442
Ac Ni Au
8 2 2
Cartesian
1.924 1.188 2.832
5.198 3.807 4.288
5.941 0.606 1.980
4.815 0.020 5.567
-1.925 3.105 8.023
2.092 2.523 7.171
-1.182 -0.096 5.715
-0.799 3.691 4.436
4.927 1.865 7.953
-0.911 1.846 2.050
2.192 4.327 3.429
1.824 -0.616 6.574

***

<ii>
Ac4NiAu PBE relaxed; size of the total moment = 0.00 μB/atom; DOS(E_F) = 14.59 states/eV/cell
1.0
7.383 -0.090 0.000
-1.365 7.566 0.000
-3.009 -3.738 7.850
Au Ac Ni
2 8 2
Cartesian
1.846 -0.022 5.985
1.164 3.760 1.865
3.929 -1.283 3.251
4.149 -1.930 7.193
-1.139 5.668 0.657
-0.920 5.021 4.599
3.247 2.499 4.599
-0.457 1.885 7.193
-0.237 1.239 3.251
3.466 1.853 0.657
5.538 -0.067 1.158
-2.528 3.805 6.692

***

Stability comparison, relative energies in meV per atom: <i> 0; <ii> 46

***

<i>
Ac4NiAu2 PBE relaxed; size of the total moment = 0.00 μB/atom; DOS(E_F) = 9.63 states/eV/cell
1.0
5.560 0.000 0.000
0.000 5.560 0.000
-2.780 -2.780 7.853
Ac Ni Au
4 1 2
Cartesian
0.000 0.000 3.005
0.000 2.780 0.000
2.780 0.000 0.000
2.780 2.780 4.848
0.000 0.000 0.000
2.780 2.780 1.805
0.000 0.000 6.048

***

<ii>
Ac4NiAu2 PBE relaxed; size of the total moment = 0.00 μB/atom; DOS(E_F) = 5.76 states/eV/cell
1.0
0.207 1.283 4.023
-3.719 -5.170 4.062
5.553 -4.690 3.432
Ac Au Ni
4 2 1
Cartesian
2.626 -3.949 3.346
2.447 -7.344 8.882
-0.585 -4.628 8.171
-0.407 -1.232 2.636
0.190 -2.975 5.382
1.850 -5.602 6.135
0.000 0.000 0.000

***

Stability comparison, relative energies in meV per atom: <i> 155; <ii> 0